A plane-wave DFT calculation with GGA-PBE was carried out for a relaxed structure of Ho3ErCu4. Values from VASP.

```
&SYSTEM
  ibrav = 0, nat = 8, ntyp = 3
/
ATOMIC_SPECIES
Cu 63.55 Cu.upf
Er 167.26 Er.upf
Ho 164.93 Ho.upf
CELL_PARAMETERS angstrom
-3.5890 -3.0729 -2.4793
3.2591 -2.7439 -1.3169
-0.8167 -3.8019 5.9003
ATOMIC_POSITIONS crystal
Cu 0.8728 0.0000 0.0329
Cu 0.3727 0.5000 0.4670
Cu 0.6271 0.0000 0.5326
Cu 0.1275 0.5000 0.9674
Er 0.3655 0.0000 0.1817
Ho 0.8656 0.5000 0.3182
Ho 0.1344 0.0000 0.6817
Ho 0.6343 0.5000 0.8185
```

## Properties
* symmetry: Pm
* formation energy from the elements: -274 meV per atom
* spin magnetization: 0.01 μB/f.u.



A plane-wave DFT calculation with GGA-PBE was carried out for a relaxed structure of HoErCu2. Values from VASP.

```
&SYSTEM
  ibrav = 0, nat = 4, ntyp = 3
/
ATOMIC_SPECIES
Cu 63.55 Cu.upf
Er 167.26 Er.upf
Ho 164.93 Ho.upf
CELL_PARAMETERS angstrom
4.4574 0.0000 0.0000
0.0000 1.8251 5.1013
0.0000 -1.8251 5.1013
ATOMIC_POSITIONS crystal
Cu 0.5000 0.0729 0.0729
Cu 0.0000 0.9275 0.9275
Er 0.0000 0.6397 0.6397
Ho 0.5000 0.3599 0.3599
```

## Properties
* symmetry: Amm2
* energy relative to the lowest polymorph listed for this composition: 9.7 meV per atom
* formation energy from the elements: -266 meV per atom
* spin magnetization: 0.01 μB/f.u.



A plane-wave DFT calculation with GGA-PBE was carried out for a relaxed structure of HoErCu2. Values from VASP.

```
&SYSTEM
  ibrav = 0, nat = 8, ntyp = 3
/
ATOMIC_SPECIES
Cu 63.55 Cu.upf
Er 167.26 Er.upf
Ho 164.93 Ho.upf
CELL_PARAMETERS angstrom
4.4562 0.0000 0.0000
0.0000 5.3305 0.0000
0.0000 0.0000 7.0613
ATOMIC_POSITIONS crystal
Cu 0.0000 0.6229 0.0327
Cu 0.5000 0.1226 0.4672
Cu 0.0000 0.3771 0.5327
Cu 0.5000 0.8774 0.9672
Er 0.0000 0.1155 0.1818
Er 0.0000 0.8845 0.6818
Ho 0.5000 0.6157 0.3183
Ho 0.5000 0.3843 0.8183
```

## Properties
* symmetry: Pmc2_1
* energy relative to the lowest polymorph listed for this composition: 0.0 meV per atom
* formation energy from the elements: -275 meV per atom
* spin magnetization: 0.00 μB/f.u.



A plane-wave DFT calculation with GGA-PBE was carried out for a relaxed structure of HoErCu2. Values from VASP.

```
&SYSTEM
  ibrav = 0, nat = 8, ntyp = 3
/
ATOMIC_SPECIES
Cu 63.55 Cu.upf
Er 167.26 Er.upf
Ho 164.93 Ho.upf
CELL_PARAMETERS angstrom
-2.8780 -3.8869 2.2236
2.3812 -3.0353 -2.2239
4.5835 -0.3281 5.3555
ATOMIC_POSITIONS crystal
Cu 0.6271 0.2500 0.0327
Cu 0.1271 0.7500 0.4674
Cu 0.8729 0.2500 0.5326
Cu 0.3729 0.7500 0.9673
Er 0.6342 0.7500 0.3182
Er 0.3658 0.2500 0.6818
Ho 0.1343 0.2500 0.1818
Ho 0.8657 0.7500 0.8182
```

## Properties
* symmetry: P2_1/m
* energy relative to the lowest polymorph listed for this composition: 0.3 meV per atom
* formation energy from the elements: -275 meV per atom
* spin magnetization: 0.00 μB/f.u.



A plane-wave DFT calculation with GGA-PBE was carried out for a relaxed structure of HoEr2In3Cu3. Values from VASP.

```
&SYSTEM
  ibrav = 0, nat = 9, ntyp = 4
/
ATOMIC_SPECIES
Cu 63.55 Cu.upf
Er 167.26 Er.upf
Ho 164.93 Ho.upf
In 114.82 In.upf
CELL_PARAMETERS angstrom
3.8272 0.0000 0.0000
0.0000 6.4986 3.7501
0.0000 -6.4986 3.7501
ATOMIC_POSITIONS crystal
Cu 0.5000 0.6672 0.3329
Cu 0.5000 0.3329 0.6672
Cu 0.0000 0.9997 0.9997
Er 0.0000 0.5926 0.0000
Er 0.0000 0.0000 0.5926
Ho 0.0000 0.4077 0.4077
In 0.5000 0.9997 0.2583
In 0.5000 0.7418 0.7418
In 0.5000 0.2583 0.9997
```

## Properties
* symmetry: Amm2
* final energy: -36.81 eV for the cell shown
* spin magnetization: 0.01 μB/f.u.



A plane-wave DFT calculation with GGA-PBE was carried out for a relaxed structure of HoEr2In3CuIr2. Values from VASP.

```
&SYSTEM
  ibrav = 0, nat = 9, ntyp = 5
/
ATOMIC_SPECIES
Cu 63.55 Cu.upf
Er 167.26 Er.upf
Ho 164.93 Ho.upf
In 114.82 In.upf
Ir 192.22 Ir.upf
CELL_PARAMETERS angstrom
3.7356 0.0000 0.0000
0.0000 6.6193 3.8165
0.0000 -6.6193 3.8165
ATOMIC_POSITIONS crystal
Cu 0.0000 0.0002 0.0002
Er 0.0000 0.4116 0.0000
Er 0.0000 0.0000 0.4116
Ho 0.0000 0.5884 0.5884
In 0.5000 0.7433 0.0003
In 0.5000 0.2566 0.2566
In 0.5000 0.0003 0.7433
Ir 0.5000 0.6669 0.3326
Ir 0.5000 0.3326 0.6669
```

## Properties
* symmetry: Amm2
* final energy: -49.05 eV for the cell shown
* spin magnetization: 0.01 μB/f.u.



A plane-wave DFT calculation with GGA-PBE was carried out for a relaxed structure of Ho2ErIn3CuNi2. Values from VASP.

```
&SYSTEM
  ibrav = 0, nat = 9, ntyp = 5
/
ATOMIC_SPECIES
Cu 63.55 Cu.upf
Er 167.26 Er.upf
Ho 164.93 Ho.upf
In 114.82 In.upf
Ni 58.69 Ni.upf
CELL_PARAMETERS angstrom
-0.2835 1.0741 3.6483
7.2427 -1.3274 0.9536
-2.2895 6.7253 -2.1578
ATOMIC_POSITIONS crystal
Cu 0.0000 0.0001 0.0001
Er 0.0000 0.4126 0.4126
Ho 0.0000 0.5874 0.0000
Ho 0.0000 0.0000 0.5874
In 0.5000 0.2584 0.0002
In 0.5000 0.0002 0.2584
In 0.5000 0.7415 0.7415
Ni 0.5000 0.6665 0.3334
Ni 0.5000 0.3334 0.6665
```

## Properties
* symmetry: Amm2
* final energy: -41.13 eV for the cell shown
* spin magnetization: 0.01 μB/f.u.



A plane-wave DFT calculation with GGA-PBE was carried out for a relaxed structure of HoEr2In3CuNi2. Values from VASP.

```
&SYSTEM
  ibrav = 0, nat = 9, ntyp = 5
/
ATOMIC_SPECIES
Cu 63.55 Cu.upf
Er 167.26 Er.upf
Ho 164.93 Ho.upf
In 114.82 In.upf
Ni 58.69 Ni.upf
CELL_PARAMETERS angstrom
-0.9027 0.2691 -3.6921
-5.4185 -4.9675 0.9627
-1.4004 7.2282 0.8693
ATOMIC_POSITIONS crystal
Cu 0.0000 0.0000 0.0000
Er 0.0000 0.4127 0.0000
Er 0.0000 0.0000 0.4127
Ho 0.0000 0.5873 0.5873
In 0.5000 0.7415 0.0000
In 0.5000 0.2584 0.2584
In 0.5000 0.0000 0.7415
Ni 0.5000 0.6667 0.3333
Ni 0.5000 0.3333 0.6667
```

## Properties
* symmetry: Amm2
* final energy: -41.11 eV for the cell shown
* spin magnetization: 0.01 μB/f.u.